(1)
BaZn3Pb: relaxed, PBE.

Output
The density of states at the Fermi level comes out at 4.632 states/eV/cell. The offset from the most stable computed form is 659.1 meV per atom. For the calculated volume, the calculation gives 203 Å³ per cell. The formation energy is 4.24 eV/f.u. The electronic total energy comes out at -1.04 eV per atom.

Structure (POSCAR):
```
BaZn3Pb
1.0
5.8807 0.0000 0.0000
0.0000 5.8807 0.0000
0.0000 0.0000 5.8807
Ba Zn Pb
1 3 1
Direct
0.0000 0.0000 0.0000
0.0000 0.0000 0.5000
0.0000 0.5000 0.0000
0.5000 0.0000 0.0000
0.5000 0.5000 0.5000
```

---

(2)
BaZnPb: relaxed, PBE.

Output
The density of states at the Fermi level comes out at 3.731 states/eV/cell. For the calculated volume, the calculation gives 408 Å³ per cell. The formation energy is -1.19 eV/f.u. The electronic total energy comes out at -2.70 eV per atom.

Structure (POSCAR):
```
BaZnPb
1.0
4.8403 0.0000 0.0000
-2.4201 4.1918 0.0000
0.0000 0.0000 20.1133
Ba Zn Pb
4 4 4
Direct
0.0000 0.0000 0.0000
0.0000 0.0000 0.2500
0.0000 0.0000 0.5000
0.0000 0.0000 0.7500
0.3333 0.6667 0.1240
0.3333 0.6667 0.3760
0.6667 0.3333 0.6240
0.6667 0.3333 0.8760
0.3333 0.6667 0.6240
0.3333 0.6667 0.8760
0.6667 0.3333 0.1240
0.6667 0.3333 0.3760
```

---

(3)
Ba4ZnPb: relaxed, PBE.

Output
The density of states at the Fermi level comes out at 6.801 states/eV/cell. The offset from the most stable computed form is 529.0 meV per atom. For the calculated volume, the calculation gives 273 Å³ per cell. The formation energy is 1.93 eV/f.u. The electronic total energy comes out at -1.79 eV per atom.

Structure (POSCAR):
```
Ba4ZnPb
1.0
0.0000 5.1503 5.1503
5.1503 0.0000 5.1503
5.1503 5.1503 0.0000
Ba Zn Pb
4 1 1
Direct
0.1240 0.1240 0.1240
0.1240 0.1240 0.6279
0.1240 0.6279 0.1240
0.6279 0.1240 0.1240
0.5000 0.5000 0.5000
0.7500 0.7500 0.7500
```